This record from Alexandria via LeMat-Bulk describes a geometry-optimized TlCd8In2 structure. The functional is GGA-PBE.

Structure (POSCAR):
```
TlCd8In2
1.0
8.3886 -2.2331 0.0000
8.3886 2.2331 0.0000
-1.9812 0.0000 7.1354
Tl Cd In
1 8 2
direct
0.0000 0.0000 0.0000
0.0890 0.0890 0.4610
0.1827 0.1827 0.9082
0.3613 0.3613 0.8181
0.4544 0.4544 0.2796
0.5456 0.5456 0.7204
0.6387 0.6387 0.1819
0.8173 0.8173 0.0918
0.9110 0.9110 0.5390
0.2727 0.2727 0.3595
0.7273 0.7273 0.6405
```

Computed properties:
Uncorrected energy (eV/f.u.): -14.78
E_form (eV per formula unit): 0.4
Space-group type: C2/m, No. 12

***

This record from Alexandria via LeMat-Bulk describes a geometry-optimized TlCd12In16 structure. The functional is GGA-PBE.

Structure (POSCAR):
```
TlCd12In16
1.0
5.7104 -8.0906 0.0000
5.7104 8.0906 0.0000
-5.7057 0.0000 8.0571
Tl Cd In
1 12 16
direct
0.0000 0.0000 0.0000
0.1203 0.9339 0.7118
0.1215 0.4977 0.9023
0.1267 0.3175 0.3473
0.3089 0.9309 0.5230
0.3175 0.1267 0.3473
0.4949 0.6850 0.0917
0.4977 0.1215 0.9023
0.5045 0.5045 0.5276
0.6790 0.6790 0.8990
0.6850 0.4949 0.0917
0.9309 0.3089 0.5230
0.9339 0.1203 0.7118
0.0010 0.5920 0.4055
0.0254 0.7136 0.1220
0.3092 0.9021 0.0258
0.3099 0.3099 0.7104
0.3110 0.3110 0.0463
0.3106 0.6186 0.3048
0.3108 0.6489 0.7176
0.5920 0.0010 0.4055
0.6177 0.9023 0.7130
0.6186 0.3106 0.3048
0.6489 0.3108 0.7176
0.7136 0.0254 0.1220
0.7221 0.7221 0.4329
0.9021 0.3092 0.0258
0.9023 0.6177 0.7130
0.9746 0.9746 0.3738
```

Computed properties:
Uncorrected energy (eV/f.u.): -56.57
E_form (eV per formula unit): 0.6
Space-group type: Cm, No. 8